w.
## VSnS2N (PBE)

Data for a relaxed structure of VSnS2N.

Properties
The calculated volume is 17.2 Å³ per atom. As for the total moment: 0.00 μB per formula unit. The space group is P4/mmm.

Geometry as extended XYZ:
```
5
Lattice="4.839 0.000 0.000 0.000 4.839 0.000 0.000 0.000 3.672" Properties=species:S:1:pos:R:3 pbc="T T T"
V 0.000 0.000 0.000
Sn 2.419 2.419 1.836
S 0.000 2.419 0.000
S 2.419 0.000 0.000
N 0.000 0.000 1.836
```

---

x.
## VSnS2N (PBE)

Data for a relaxed structure of VSnS2N.

Properties
The calculated volume is 19.8 Å³ per atom. As for the total moment: 0.23 μB per formula unit. The space group is P4/mmm.

Geometry as extended XYZ:
```
5
Lattice="5.037 0.000 0.000 0.000 5.037 0.000 0.000 0.000 3.897" Properties=species:S:1:pos:R:3 pbc="T T T"
V 0.000 0.000 0.000
Sn 2.519 2.519 1.949
S 0.000 2.519 1.949
S 2.519 0.000 1.949
N 2.519 2.519 0.000
```

---

Most stable: w (next structure +1285 meV per atom)

---

w.
## SnWS2N (PBE)

Data for a relaxed structure of SnWS2N.

Properties
The calculated volume is 18.4 Å³ per atom. As for the total moment: 0.00 μB per formula unit. The space group is P4/mmm.

Geometry as extended XYZ:
```
5
Lattice="4.890 0.000 0.000 0.000 4.890 0.000 0.000 0.000 3.855" Properties=species:S:1:pos:R:3 pbc="T T T"
Sn 0.000 0.000 0.000
W 2.445 2.445 1.928
S 0.000 2.445 1.928
S 2.445 0.000 1.928
N 2.445 2.445 0.000
```

---

x.
## SnWS2N (PBE)

Data for a relaxed structure of SnWS2N.

Properties
The calculated volume is 19.6 Å³ per atom. As for the total moment: 2.84 μB per formula unit. The space group is P4/mmm.

Geometry as extended XYZ:
```
5
Lattice="5.009 0.000 0.000 0.000 5.009 0.000 0.000 0.000 3.913" Properties=species:S:1:pos:R:3 pbc="T T T"
Sn 0.000 0.000 0.000
W 2.504 2.504 1.957
S 0.000 2.504 0.000
S 2.504 0.000 0.000
N 0.000 0.000 1.957
```

---

Most stable: w (next structure +1588 meV per atom)

---

w.
## YSnS2N (PBE)

Data for a relaxed structure of YSnS2N.

Properties
The calculated volume is 20.2 Å³ per atom. As for the total moment: 0.00 μB per formula unit. The space group is P4/mmm.

Geometry as extended XYZ:
```
5
Lattice="5.035 0.000 0.000 0.000 5.035 0.000 0.000 0.000 3.984" Properties=species:S:1:pos:R:3 pbc="T T T"
Y 0.000 0.000 0.000
Sn 2.517 2.517 1.992
S 0.000 2.517 1.992
S 2.517 0.000 1.992
N 2.517 2.517 0.000
```

---

x.
## YSnS2N (PBE)

Data for a relaxed structure of YSnS2N.

Properties
The calculated volume is 24.8 Å³ per atom. As for the total moment: 2.01 μB per formula unit. The space group is P4/mmm.

Geometry as extended XYZ:
```
5
Lattice="5.306 0.000 0.000 0.000 5.306 0.000 0.000 0.000 4.407" Properties=species:S:1:pos:R:3 pbc="T T T"
Y 0.000 0.000 0.000
Sn 2.653 2.653 2.204
S 0.000 2.653 0.000
S 2.653 0.000 0.000
N 0.000 0.000 2.204
```

---

Most stable: w (next structure +87 meV per atom)

---

w.
## ZnSnS2N (PBE)

Data for a relaxed structure of ZnSnS2N.

Properties
The calculated volume is 21.0 Å³ per atom. As for the total moment: 1.36 μB per formula unit. The space group is P4/mmm.

Geometry as extended XYZ:
```
5
Lattice="5.101 0.000 0.000 0.000 5.101 0.000 0.000 0.000 4.030" Properties=species:S:1:pos:R:3 pbc="T T T"
Zn 0.000 0.000 0.000
Sn 2.550 2.550 2.015
S 0.000 2.550 2.015
S 2.550 0.000 2.015
N 2.550 2.550 0.000
```

---

x.
## ZnSnS2N (PBE)

Data for a relaxed structure of ZnSnS2N.

Properties
The calculated volume is 18.8 Å³ per atom. As for the total moment: 2.06 μB per formula unit. The space group is P4/mmm.

Geometry as extended XYZ:
```
5
Lattice="4.936 0.000 0.000 0.000 4.936 0.000 0.000 0.000 3.855" Properties=species:S:1:pos:R:3 pbc="T T T"
Zn 0.000 0.000 0.000
Sn 2.468 2.468 1.927
S 0.000 2.468 0.000
S 2.468 0.000 0.000
N 0.000 0.000 1.927
```

---

Most stable: x (next structure +192 meV per atom)

---

w.
## ZrSnSN2 (PBE)

Data for a relaxed structure of ZrSnSN2.

Properties
The calculated volume is 18.7 Å³ per atom. As for the total moment: 0.72 μB per formula unit. The space group is P4/mmm.

Geometry as extended XYZ:
```
5
Lattice="4.182 0.000 0.000 0.000 4.182 0.000 0.000 0.000 5.335" Properties=species:S:1:pos:R:3 pbc="T T T"
Zr 0.000 0.000 0.000
Sn 2.091 2.091 2.667
S 0.000 0.000 2.667
N 0.000 2.091 0.000
N 2.091 0.000 0.000
```

---

x.
## ZrSnSN2 (PBE)

Data for a relaxed structure of ZrSnSN2.

Properties
The calculated volume is 16.3 Å³ per atom. As for the total moment: 0.00 μB per formula unit. The space group is P4/mmm.

Geometry as extended XYZ:
```
5
Lattice="4.045 0.000 0.000 0.000 4.045 0.000 0.000 0.000 4.968" Properties=species:S:1:pos:R:3 pbc="T T T"
Zr 0.000 0.000 0.000
Sn 2.022 2.022 2.484
S 2.022 2.022 0.000
N 0.000 2.022 2.484
N 2.022 0.000 2.484
```

---

Most stable: w (next structure +557 meV per atom)

---

w.
## ZrSnS2N (PBE)

Data for a relaxed structure of ZrSnS2N.

Properties
The calculated volume is 21.6 Å³ per atom. As for the total moment: 0.74 μB per formula unit. The space group is P4/mmm.

Geometry as extended XYZ:
```
5
Lattice="5.123 0.000 0.000 0.000 5.123 0.000 0.000 0.000 4.115" Properties=species:S:1:pos:R:3 pbc="T T T"
Zr 0.000 0.000 0.000
Sn 2.561 2.561 2.058
S 0.000 2.561 0.000
S 2.561 0.000 0.000
N 0.000 0.000 2.058
```

---

x.
## ZrSnS2N (PBE)

Data for a relaxed structure of ZrSnS2N.

Properties
The calculated volume is 19.5 Å³ per atom. As for the total moment: 0.00 μB per formula unit. The space group is P4/mmm.

Geometry as extended XYZ:
```
5
Lattice="5.019 0.000 0.000 0.000 5.019 0.000 0.000 0.000 3.867" Properties=species:S:1:pos:R:3 pbc="T T T"
Zr 0.000 0.000 0.000
Sn 2.510 2.510 1.933
S 0.000 2.510 1.933
S 2.510 0.000 1.933
N 2.510 2.510 0.000
```

---

Most stable: w (next structure +748 meV per atom)

---

w.
## SrSN (PBE)

Data for a relaxed structure of SrSN.

Properties
The calculated volume is 22.1 Å³ per atom. As for the total moment: 0.00 μB per formula unit. The space group is R3m.

Geometry as extended XYZ:
```
6
Lattice="2.099 1.212 8.702 -2.099 1.212 8.702 0.000 -2.424 8.702" Properties=species:S:1:pos:R:3 pbc="T T T"
Sr 0.000 0.000 0.000
Sr 0.000 0.000 5.139
S 0.000 0.000 15.913
S 0.000 0.000 20.280
N 0.000 0.000 2.464
N 0.000 0.000 21.807
```

---

x.
## SrSN (PBE)

Data for a relaxed structure of SrSN.

Properties
The calculated volume is 28.7 Å³ per atom. As for the total moment: 0.00 μB per formula unit. The space group is P2_1/c.

Geometry as extended XYZ:
```
12
Lattice="9.906 0.000 0.000 0.000 4.213 0.000 -1.660 0.000 8.248" Properties=species:S:1:pos:R:3 pbc="T T T"
Sr 0.806 1.052 3.378
Sr -0.024 1.054 7.502
Sr 8.269 3.159 0.746
Sr 7.439 3.161 4.870
S 1.299 3.160 1.332
S 0.469 3.160 5.456
S 7.776 1.053 2.792
S 6.946 1.053 6.916
N 3.636 0.244 4.007
N 2.805 1.862 8.131
N 5.440 2.351 0.117
N 4.610 3.969 4.241
```

---

Most stable: x (next structure +831 meV per atom)

---

w.
## SrS2N2 (PBE)

Data for a relaxed structure of SrS2N2.

Properties
The calculated volume is 27.6 Å³ per atom. As for the total moment: 5.37 μB per formula unit. The space group is P4/mmm.

Geometry as extended XYZ:
```
5
Lattice="4.792 0.000 0.000 0.000 4.792 0.000 0.000 0.000 6.004" Properties=species:S:1:pos:R:3 pbc="T T T"
Sr 0.000 0.000 0.000
S 0.000 0.000 3.002
S 2.396 2.396 3.002
N 0.000 2.396 0.000
N 2.396 0.000 0.000
```

---

x.
## SrS2N2 (PBE)

Data for a relaxed structure of SrS2N2.

Properties
The calculated volume is 15.5 Å³ per atom. As for the total moment: 1.53 μB per formula unit. The space group is P4/mmm.

Geometry as extended XYZ:
```
5
Lattice="4.178 0.000 0.000 0.000 4.178 0.000 0.000 0.000 4.427" Properties=species:S:1:pos:R:3 pbc="T T T"
Sr 0.000 0.000 0.000
S 0.000 2.089 2.214
S 2.089 0.000 2.214
N 2.089 2.089 0.000
N 2.089 2.089 2.214
```

---

y.
## SrS2N2 (PBE)

Data for a relaxed structure of SrS2N2.

Properties
The calculated volume is 15.1 Å³ per atom. As for the total moment: 1.76 μB per formula unit. The space group is P4/mmm.

Geometry as extended XYZ:
```
5
Lattice="3.990 0.000 0.000 0.000 3.990 0.000 0.000 0.000 4.753" Properties=species:S:1:pos:R:3 pbc="T T T"
Sr 0.000 0.000 0.000
S 1.995 1.995 0.000
S 1.995 1.995 2.377
N 0.000 1.995 2.377
N 1.995 0.000 2.377
```

---

z.
## SrS2N2 (PBE)

Data for a relaxed structure of SrS2N2.

Properties
The calculated volume is 36.6 Å³ per atom. As for the total moment: 8.00 μB per formula unit. The space group is P4/mmm.

Geometry as extended XYZ:
```
5
Lattice="5.925 0.000 0.000 0.000 5.925 0.000 0.000 0.000 5.211" Properties=species:S:1:pos:R:3 pbc="T T T"
Sr 0.000 0.000 0.000
S 0.000 2.963 0.000
S 2.963 0.000 0.000
N 0.000 0.000 2.605
N 2.963 2.963 2.605
```

---

Most stable: y (next structure +140 meV per atom)